Here is a relaxed structure of Li3V2Ge2O10 from Alexandria. Energies are from PBE with a Hubbard U.

POSCAR file:
```
Li3V2Ge2O10
1.0
4.6303 -4.6493 0.0000
4.6303 4.6493 0.0000
0.0000 0.0000 9.2648
Li V Ge O
6 4 4 20
direct
0.0000 0.0000 0.0000
0.0000 0.5000 0.0000
0.0000 0.5000 0.5000
0.5000 0.0000 0.0000
0.5000 0.0000 0.5000
0.5000 0.5000 0.5000
0.2406 0.7594 0.6971
0.2594 0.7406 0.1971
0.7406 0.2594 0.8029
0.7594 0.2406 0.3029
0.2483 0.2517 0.7500
0.2517 0.2483 0.2500
0.7483 0.7517 0.7500
0.7517 0.7483 0.2500
0.0324 0.2486 0.8643
0.0354 0.2602 0.3643
0.2296 0.7704 0.8756
0.2398 0.4646 0.1357
0.2486 0.0324 0.1357
0.2514 0.4676 0.6357
0.2602 0.0354 0.6357
0.2704 0.7296 0.3756
0.4646 0.2398 0.8643
0.4676 0.2514 0.3643
0.5324 0.7486 0.6357
0.5354 0.7602 0.1357
0.7296 0.2704 0.6244
0.7398 0.9646 0.3643
0.7486 0.5324 0.3643
0.7514 0.9676 0.8643
0.7602 0.5354 0.8643
0.7704 0.2296 0.1244
0.9646 0.7398 0.6357
0.9676 0.7514 0.1357
```

Results
Raw total energy ... -6.554 eV per atom
Theoretical density ... 3.6 g/cm³
SG ... Cmce (64)